DFT (PBE-GGA) results for an optimized crystal structure of Cs2HgI.

a = 5.320 Å, b = 5.320 Å, c = 12.896 Å
α = 78.10°, β = 78.10°, γ = 60.00°
Fractional coordinates of all 4 atoms:
Cs  0.103  0.103  0.690
Cs  0.897  0.897  0.310
I  0.500  0.500  0.500
Hg  0.000  0.000  0.000

- Symmetry: R-3m
- Relative energy among the computed polymorphs: 192.9 meV/atom
- Density of states at the Fermi level: 3.626 states/eV/f.u.
- ΔE_f (raw): -0.680 eV/atom